[1]
## NdSm2DyEr (PBE-GGA)

Data for an optimized crystal structure of NdSm2DyEr.

Lattice parameters (Å, degrees): 6.634 8.307 6.184 91.38 90.00 90.00
Positions (direct):
Nd 0.000 0.000 0.000
Nd 0.000 0.000 0.500
Sm 0.691 0.692 0.758
Sm 0.691 0.308 0.742
Sm 0.309 0.692 0.258
Sm 0.309 0.308 0.242
Dy 0.572 0.000 0.250
Dy 0.428 0.000 0.750
Er 0.160 0.500 0.750
Er 0.840 0.500 0.250

energy of formation	27.29	kJ/mol of atoms
E	-4.3914	eV per atom



[2]
## Sr2CePmS4 (PBE-GGA)

Data for an optimized crystal structure of Sr2CePmS4.

Lattice parameters (Å, degrees): 4.119 7.131 7.287 109.04 90.00 90.00
Each line ends with the local moment (μB).
Positions (direct):
Sr 0.500 0.000 0.500  0.01
Sr 0.000 0.500 0.500  0.01
Ce 0.500 0.500 0.000  1.00
Pm 0.000 0.000 0.000  0.07
S 0.500 0.246 0.238  -0.01
S 0.500 0.754 0.762  -0.01
S 0.000 0.253 0.761  -0.01
S 0.000 0.747 0.239  -0.01

formation energy without anion corrections	-2.031	eV/atom
E	-5.8512	eV per atom



[3]
## LiBe2Ir (PBE-GGA)

Data for an optimized crystal structure of LiBe2Ir.

Lattice parameters (Å, degrees): 4.537 4.537 4.537 142.98 131.41 62.62
Positions (direct):
Be 0.988 0.988 0.000
Be 0.757 0.257 0.500
Ir 0.512 0.512 0.000
Li 0.243 0.743 0.500

energy of formation	-27.92	kJ/mol of atoms
E	-4.8461	eV per atom



[4]
## CsBa2GeB (PBE-GGA)

Data for an optimized crystal structure of CsBa2GeB.

Lattice parameters (Å, degrees): 6.073 4.693 6.073 90.00 90.00 90.00
Positions (direct):
Cs 0.500 0.500 0.500
Ge 0.000 0.500 0.000
B 0.000 0.000 0.000
Ba 0.000 0.000 0.500
Ba 0.500 0.000 0.000

energy of formation	42.65	kJ/mol of atoms
E	-2.7567	eV per atom



[5]
## Cr2TcBr (PBE-GGA)

Data for an optimized crystal structure of Cr2TcBr.

Lattice parameters (Å, degrees): 7.955 7.955 7.955 23.19 23.19 23.19
Each line ends with the local moment (μB).
Positions (direct):
Br 0.750 0.750 0.750  0.04
Cr 0.992 0.992 0.992  2.93
Cr 0.508 0.508 0.508  2.93
Tc 0.250 0.250 0.250  -1.12

formation energy without anion corrections	0.499	eV/atom
E	-7.3220	eV per atom
offset from the most stable computed form	0.007	eV per atom



[6]
## BeTeRu2 (PBE-GGA)

Data for an optimized crystal structure of BeTeRu2.

Lattice parameters (Å, degrees): 3.175 3.175 6.000 90.00 90.00 90.00
Positions (direct):
Ru 0.000 0.000 0.919
Ru 0.500 0.500 0.250
Te 0.000 0.000 0.486
Be 0.500 0.500 0.844

formation energy without anion corrections	0.150	eV/atom
E	-6.2051	eV per atom
offset from the most stable computed form	0.118	eV per atom



> E of number 6 (BeTeRu2)?

-6.2051 eV per atom